First-principles (PBE-GGA) data for a relaxed structure of RbHfAg3S4, as listed in OQMD via LeMat-Bulk.

Values from the calculation:
- Symmetry: P2_1/m

Cell: 6.207 7.825 10.322 Å, 90.00 107.17 90.00°
Sites, in units of the cell vectors:
Hf 0.864 0.750 0.208
Ag 0.712 0.453 0.982
Ag 0.288 0.953 0.018
S 0.350 0.503 0.775
S 0.057 0.250 0.012
Ag 0.409 0.750 0.267
Hf 0.136 0.250 0.792
S 0.650 0.497 0.225
Ag 0.712 0.047 0.982
S 0.943 0.750 0.988
Ag 0.591 0.250 0.733
Ag 0.288 0.547 0.018
Rb 0.803 0.750 0.631
S 0.650 0.003 0.225
S 0.833 0.250 0.588
S 0.167 0.750 0.412
Rb 0.197 0.250 0.369
S 0.350 0.997 0.775

---

First-principles (PBE-GGA) data for a relaxed structure of RbHfAgS3, as listed in OQMD via LeMat-Bulk.

Values from the calculation:
- Symmetry: Cmcm

Cell: 7.765 7.765 10.093 Å, 90.00 90.00 151.44°
Sites, in units of the cell vectors:
S 0.059 0.941 0.750
S 0.941 0.059 0.250
S 0.384 0.616 0.528
Hf 0.000 0.000 0.000
S 0.384 0.616 0.972
S 0.616 0.384 0.472
Ag 0.449 0.551 0.750
Hf 0.000 0.000 0.500
Rb 0.258 0.742 0.250
Rb 0.742 0.258 0.750
S 0.616 0.384 0.028
Ag 0.551 0.449 0.250

---

First-principles (PBE-GGA) data for a relaxed structure of RbHfAgS3, as listed in OQMD via LeMat-Bulk.

Values from the calculation:
- Symmetry: Pnma

Cell: 12.168 3.768 12.982 Å, 90.00 90.00 90.00°
Sites, in units of the cell vectors:
S 0.835 0.000 0.726
S 0.202 0.000 0.970
Rb 0.549 0.000 0.693
Rb 0.951 0.000 0.193
Rb 0.049 0.500 0.807
S 0.064 0.000 0.577
S 0.798 0.500 0.030
Ag 0.264 0.000 0.661
S 0.335 0.500 0.774
S 0.165 0.500 0.274
Hf 0.653 0.000 0.039
Ag 0.736 0.500 0.339
S 0.665 0.000 0.226
Ag 0.764 0.500 0.839
S 0.298 0.000 0.470
Hf 0.153 0.500 0.461
Hf 0.847 0.000 0.539
Hf 0.347 0.500 0.961
S 0.702 0.500 0.530
Ag 0.236 0.000 0.161
Rb 0.451 0.500 0.307
S 0.936 0.500 0.423
S 0.564 0.500 0.923
S 0.436 0.000 0.077

---

First-principles (PBE-GGA) data for a relaxed structure of RbHfAgS3, as listed in OQMD via LeMat-Bulk.

Values from the calculation:
- Symmetry: Pnma

Cell: 10.072 3.840 15.163 Å, 90.00 90.00 90.00°
Sites, in units of the cell vectors:
Ag 0.323 0.250 0.355
S 0.489 0.750 0.409
Hf 0.662 0.250 0.441
Ag 0.177 0.750 0.855
S 0.754 0.750 0.796
Hf 0.338 0.750 0.559
Rb 0.482 0.250 0.826
Hf 0.162 0.250 0.059
S 0.193 0.250 0.498
Ag 0.677 0.750 0.645
Ag 0.823 0.250 0.145
S 0.254 0.750 0.704
S 0.011 0.250 0.909
Rb 0.518 0.750 0.174
S 0.807 0.750 0.502
S 0.746 0.250 0.296
S 0.693 0.250 0.002
S 0.989 0.750 0.091
S 0.307 0.750 0.998
S 0.246 0.250 0.204
Rb 0.982 0.250 0.674
Hf 0.838 0.750 0.941
S 0.511 0.250 0.591
Rb 0.018 0.750 0.326

---

Number 1: final energy -0.351 Ry/atom, calculated volume 239 Å³/f.u.. Number 2: final energy -0.404 Ry/atom, calculated volume 145 Å³/f.u.. Number 3: final energy -0.400 Ry/atom, calculated volume 149 Å³/f.u.. Number 4: final energy -0.403 Ry/atom, calculated volume 147 Å³/f.u..